First-principles (PBE-GGA) data for a geometry-optimized Tl2Cd5Sn3 structure, as listed in Alexandria.

**ΔH_f (0 K)**: 0.042 eV per atom
**Calculated volume**: 563.0 Å³/cell
**Total magnetization**: 0.000 μB per cell
**Space-group type**: Ibam
**Total energy**: -2.089 eV/atom

a b c (Å): 6.479 9.869 9.869
angles (deg): 84.26 70.84 70.84
Fractional coordinates of all 20 atoms:
Sn: 0.250 0.000 0.000
Sn: 0.629 0.510 0.232
Sn: 0.129 0.232 0.510
Sn: 0.871 0.768 0.490
Sn: 0.371 0.490 0.768
Sn: 0.750 0.000 0.000
Cd: 0.125 0.021 0.728
Cd: 0.494 0.756 0.756
Cd: 0.875 0.979 0.272
Cd: 0.375 0.272 0.979
Cd: 0.250 0.500 0.500
Cd: 0.506 0.244 0.244
Cd: 0.006 0.244 0.244
Cd: 0.625 0.728 0.021
Cd: 0.750 0.500 0.500
Cd: 0.994 0.756 0.756
Tl: 0.876 0.379 0.869
Tl: 0.124 0.621 0.131
Tl: 0.376 0.869 0.379
Tl: 0.624 0.131 0.621


First-principles (PBE-GGA) data for a geometry-optimized Tl4CdSn structure, as listed in Alexandria.

**ΔH_f (0 K)**: 0.050 eV per atom
**Calculated volume**: 358.6 Å³/cell
**Total magnetization**: 0.000 μB per cell
**Space-group type**: C2/m
**Total energy**: -2.347 eV/atom

a b c (Å): 6.397 5.916 11.263
angles (deg): 90.45 90.83 57.27
Fractional coordinates of all 12 atoms:
Tl: 0.425 0.662 0.258
Tl: 0.683 0.635 0.000
Tl: 0.913 0.662 0.742
Tl: 0.575 0.338 0.742
Tl: 0.087 0.338 0.258
Tl: 0.293 0.000 0.611
Tl: 0.707 0.000 0.389
Tl: 0.317 0.365 0.000
Sn: 0.875 0.000 0.115
Sn: 0.125 0.000 0.885
Cd: 0.775 0.450 0.500
Cd: 0.225 0.550 0.500


First-principles (PBE-GGA) data for a geometry-optimized Tl2Cd2Sn3 structure, as listed in Alexandria.

**ΔH_f (0 K)**: 0.055 eV per atom
**Calculated volume**: 203.2 Å³/cell
**Total magnetization**: 0.000 μB per cell
**Space-group type**: C2/m
**Total energy**: -2.598 eV/atom

a b c (Å): 4.360 6.911 8.007
angles (deg): 115.94 90.00 108.39
Fractional coordinates of all 7 atoms:
Cd: 0.911 0.822 0.557
Cd: 0.089 0.178 0.443
Tl: 0.363 0.726 0.197
Tl: 0.637 0.274 0.803
Sn: 0.333 0.666 0.747
Sn: 0.000 0.000 0.000
Sn: 0.667 0.334 0.253


First-principles (PBE-GGA) data for a geometry-optimized Tl3CdSn structure, as listed in Alexandria.

**ΔH_f (0 K)**: 0.036 eV per atom
**Calculated volume**: 289.4 Å³/cell
**Total magnetization**: 0.000 μB per cell
**Space-group type**: P-1
**Total energy**: -2.368 eV/atom

a b c (Å): 3.629 6.873 12.020
angles (deg): 92.47 89.92 75.14
Fractional coordinates of all 10 atoms:
Tl: 0.868 0.270 0.462
Tl: 0.132 0.730 0.538
Tl: 0.739 0.512 0.750
Tl: 0.261 0.488 0.250
Tl: 0.642 0.716 0.042
Tl: 0.358 0.284 0.958
Sn: 0.552 0.900 0.324
Sn: 0.448 0.100 0.676
Cd: 0.045 0.903 0.848
Cd: 0.955 0.097 0.152


First-principles (PBE-GGA) data for a geometry-optimized TlCdSn2 structure, as listed in Alexandria.

**ΔH_f (0 K)**: 0.056 eV per atom
**Calculated volume**: 110.0 Å³/cell
**Total magnetization**: 0.000 μB per cell
**Space-group type**: F-43m
**Total energy**: -2.765 eV/atom

a b c (Å): 5.378 5.378 5.379
angles (deg): 60.00 60.00 60.00
Fractional coordinates of all 4 atoms:
Sn: 0.250 0.250 0.250
Sn: 0.000 0.000 0.000
Tl: 0.500 0.500 0.500
Cd: 0.750 0.750 0.750


First-principles (PBE-GGA) data for a geometry-optimized TlCd3Sn structure, as listed in Alexandria.

**ΔH_f (0 K)**: 0.312 eV per atom
**Calculated volume**: 180.6 Å³/cell
**Total magnetization**: 0.000 μB per cell
**Space-group type**: Pm-3m
**Total energy**: -1.511 eV/atom

a b c (Å): 5.652 5.652 5.652
angles (deg): 90.00 90.00 90.00
Fractional coordinates of all 5 atoms:
Sn: 0.000 0.000 0.000
Cd: 0.500 0.000 0.000
Cd: 0.000 0.000 0.500
Cd: 0.000 0.500 0.000
Tl: 0.500 0.500 0.500